A plane-wave DFT calculation with PBE with a Hubbard U was carried out for a relaxed structure of LiVOF3.

uncorrected energy = -5.894 eV per atom
polymorph energy (0 for the lowest one) = 74 meV per atom

Cell lengths 5.819, 5.819, 5.038 Å; angles 98.80, 98.80, 60.60 degrees
Element x y z (fractional)
1 Li 0.210 0.210 0.089
2 Li 0.790 0.790 0.911
3 V 0.514 0.486 0.000
4 V 0.793 0.207 0.500
5 O 0.630 0.169 0.158
6 O 0.831 0.370 0.842
7 F 0.119 0.112 0.386
8 F 0.159 0.594 0.072
9 F 0.406 0.841 0.928
10 F 0.429 0.345 0.645
11 F 0.655 0.571 0.355
12 F 0.888 0.881 0.614